VASP calculation (PBE-GGA) on Np2BeB2Rh5 after structural relaxation.

Cell lengths 9.5101, 9.5101, 3.0831 Å; angles 90.00, 90.00, 90.00 degrees
Element x y z (fractional)
1 Np 0.1786 0.3214 0.0000
2 Np 0.3214 0.8214 0.0000
3 Np 0.6786 0.1786 0.0000
4 Np 0.8214 0.6786 0.0000
5 Be 0.0000 0.0000 0.0000
6 Be 0.5000 0.5000 0.0000
7 B 0.1241 0.6241 0.0000
8 B 0.3759 0.1241 0.0000
9 B 0.6241 0.8759 0.0000
10 B 0.8759 0.3759 0.0000
11 Rh 0.0000 0.5000 0.5000
12 Rh 0.0643 0.7880 0.5000
13 Rh 0.2120 0.0643 0.5000
14 Rh 0.2880 0.5643 0.5000
15 Rh 0.4357 0.2880 0.5000
16 Rh 0.5000 0.0000 0.5000
17 Rh 0.5643 0.7120 0.5000
18 Rh 0.7120 0.4357 0.5000
19 Rh 0.7880 0.9357 0.5000
20 Rh 0.9357 0.2120 0.5000

**V**: 13.9 Å³ per atom
**ΔE_f**: -0.401 eV per atom
**DFT total energy**: -167.451 eV for the cell shown


VASP calculation (PBE-GGA) on BeB2O after structural relaxation.

Cell lengths 4.7134, 4.7134, 4.7134 Å; angles 126.40, 126.40, 79.23 degrees
Element x y z (fractional)
1 Be 0.0000 0.0000 0.0000
2 Be 0.7500 0.2500 0.5000
3 B 0.1765 0.6250 0.0515
4 B 0.3750 0.4265 0.5515
5 B 0.5735 0.1250 0.9485
6 B 0.8750 0.8235 0.4485
7 O 0.2500 0.7500 0.5000
8 O 0.5000 0.5000 0.0000

**Formation energy (no corrections)**: 0.351 eV per atom
**V**: 8.2 Å³ per atom
**DFT total energy**: -41.268 eV for the cell shown


VASP calculation (PBE-GGA) on BeBO after structural relaxation.

Cell lengths 2.9025, 2.9025, 10.1536 Å; angles 96.49, 96.49, 54.08 degrees
Element x y z (fractional)
1 Be 0.1437 0.1437 0.4120
2 Be 0.8563 0.8563 0.5880
3 B 0.3492 0.3492 0.9999
4 B 0.6508 0.6508 0.0001
5 O 0.1834 0.1834 0.6018
6 O 0.8166 0.8166 0.3982

**Formation energy (no corrections)**: -1.298 eV per atom
**V**: 11.5 Å³ per atom
**DFT total energy**: -38.510 eV for the cell shown


VASP calculation (PBE-GGA) on BeB3O after structural relaxation.

Cell lengths 3.4807, 3.4807, 3.4807 Å; angles 90.00, 90.00, 90.00 degrees
Element x y z (fractional)
1 Be 0.0000 0.0000 0.0000
2 B 0.0000 0.5000 0.5000
3 B 0.5000 0.0000 0.5000
4 B 0.5000 0.5000 0.0000
5 O 0.5000 0.5000 0.5000

**Formation energy (no corrections)**: 1.755 eV per atom
**V**: 8.4 Å³ per atom
**DFT total energy**: -19.942 eV for the cell shown


VASP calculation (PBE-GGA) on BeB3O after structural relaxation.

Cell lengths 3.5024, 3.5024, 3.5024 Å; angles 90.00, 90.00, 90.00 degrees
Element x y z (fractional)
1 Be 0.0000 0.0000 0.0000
2 B 0.0000 0.0000 0.5000
3 B 0.0000 0.5000 0.0000
4 B 0.5000 0.0000 0.0000
5 O 0.5000 0.5000 0.5000

**Formation energy (no corrections)**: 1.629 eV per atom
**V**: 8.6 Å³ per atom
**DFT total energy**: -20.574 eV for the cell shown


VASP calculation (PBE-GGA) on Be2BO after structural relaxation.

Cell lengths 4.7293, 4.7293, 4.7293 Å; angles 124.13, 124.13, 82.98 degrees
Element x y z (fractional)
1 Be 0.0555 0.6250 0.9305
2 Be 0.3750 0.3055 0.4305
3 Be 0.6945 0.1250 0.0695
4 Be 0.8750 0.9445 0.5695
5 B 0.2500 0.7500 0.5000
6 B 0.5000 0.5000 0.0000
7 O 0.0000 0.0000 0.0000
8 O 0.7500 0.2500 0.5000

**Formation energy (no corrections)**: -0.573 eV per atom
**V**: 8.7 Å³ per atom
**DFT total energy**: -42.761 eV for the cell shown


VASP calculation (PBE-GGA) on Be2BO4 after structural relaxation.

Cell lengths 3.8495, 3.8495, 3.5863 Å; angles 90.00, 90.00, 90.00 degrees
Element x y z (fractional)
1 Be 0.0000 0.5000 0.0000
2 Be 0.5000 0.0000 0.0000
3 B 0.0000 0.0000 0.5000
4 O 0.2218 0.2218 0.7444
5 O 0.2218 0.7782 0.2556
6 O 0.7782 0.2218 0.2556
7 O 0.7782 0.7782 0.7444

**Formation energy (no corrections)**: -2.200 eV per atom
**V**: 7.6 Å³ per atom
**DFT total energy**: -49.361 eV for the cell shown


VASP calculation (PBE-GGA) on Be2BO5 after structural relaxation.

Cell lengths 4.4807, 4.4807, 5.0466 Å; angles 97.85, 97.85, 59.28 degrees
Element x y z (fractional)
1 Be 0.1774 0.1774 0.0995
2 Be 0.8226 0.8226 0.9005
3 B 0.4985 0.5015 0.0000
4 O 0.1921 0.5036 0.0107
5 O 0.1987 0.2015 0.4317
6 O 0.4964 0.8078 0.9893
7 O 0.7985 0.8013 0.5683
8 O 0.8096 0.1904 0.0000

**Formation energy (no corrections)**: -1.673 eV per atom
**V**: 10.8 Å³ per atom
**DFT total energy**: -52.304 eV for the cell shown


VASP calculation (PBE-GGA) on BeB2O after structural relaxation.

Cell lengths 3.5787, 3.5787, 3.5787 Å; angles 60.00, 60.00, 60.00 degrees
Element x y z (fractional)
1 Be 0.0000 0.0000 0.0000
2 B 0.2500 0.2500 0.2500
3 B 0.7500 0.7500 0.7500
4 O 0.5000 0.5000 0.5000

**Formation energy (no corrections)**: 1.755 eV per atom
**V**: 8.1 Å³ per atom
**DFT total energy**: -15.020 eV for the cell shown


VASP calculation (PBE-GGA) on Be2BO4 after structural relaxation.

Cell lengths 4.4847, 9.6020, 12.8388 Å; angles 90.00, 90.00, 90.00 degrees
Element x y z (fractional)
1 Be 0.2306 0.2449 0.0656
2 Be 0.2306 0.2551 0.5656
3 Be 0.2444 0.0141 0.1919
4 Be 0.2444 0.4859 0.6919
5 Be 0.2556 0.5141 0.1919
6 Be 0.2556 0.9859 0.6919
7 Be 0.2694 0.7449 0.0656
8 Be 0.2694 0.7551 0.5656
9 Be 0.7306 0.2449 0.4344
10 Be 0.7306 0.2551 0.9344
11 Be 0.7444 0.0141 0.3081
12 Be 0.7444 0.4859 0.8081
13 Be 0.7556 0.5141 0.3081
14 Be 0.7556 0.9859 0.8081
15 Be 0.7694 0.7449 0.4344
16 Be 0.7694 0.7551 0.9344
17 B 0.2367 0.1189 0.3855
18 B 0.2367 0.3811 0.8855
19 B 0.2633 0.6189 0.3855
20 B 0.2633 0.8811 0.8855
21 B 0.7367 0.1189 0.1145
22 B 0.7367 0.3811 0.6145
23 B 0.7633 0.6189 0.1145
24 B 0.7633 0.8811 0.6145
25 O 0.0714 0.6159 0.1113
26 O 0.0714 0.8841 0.6113
27 O 0.1101 0.6945 0.4600
28 O 0.1101 0.8055 0.9600
29 O 0.1130 0.5473 0.3089
30 O 0.1130 0.9527 0.8089
31 O 0.1968 0.1444 0.6587
32 O 0.1968 0.3556 0.1587
33 O 0.3032 0.6444 0.6587
34 O 0.3032 0.8556 0.1587
35 O 0.3870 0.0473 0.3089
36 O 0.3870 0.4527 0.8089
37 O 0.3899 0.1945 0.4600
38 O 0.3899 0.3055 0.9600
39 O 0.4286 0.1159 0.1113
40 O 0.4286 0.3841 0.6113
41 O 0.5714 0.6159 0.3887
42 O 0.5714 0.8841 0.8887
43 O 0.6101 0.6945 0.0400
44 O 0.6101 0.8055 0.5400
45 O 0.6130 0.5473 0.1911
46 O 0.6130 0.9527 0.6911
47 O 0.6968 0.1444 0.8413
48 O 0.6968 0.3556 0.3413
49 O 0.8032 0.6444 0.8413
50 O 0.8032 0.8556 0.3413
51 O 0.8870 0.0473 0.1911
52 O 0.8870 0.4527 0.6911
53 O 0.8899 0.1945 0.0400
54 O 0.8899 0.3055 0.5400
55 O 0.9286 0.1159 0.3887
56 O 0.9286 0.3841 0.8887

**Formation energy (no corrections)**: -2.294 eV per atom
**V**: 9.9 Å³ per atom
**DFT total energy**: -400.183 eV for the cell shown


VASP calculation (PBE-GGA) on Be2BO after structural relaxation.

Cell lengths 3.5461, 3.5461, 3.5461 Å; angles 60.00, 60.00, 60.00 degrees
Element x y z (fractional)
1 Be 0.2500 0.2500 0.2500
2 Be 0.7500 0.7500 0.7500
3 B 0.0000 0.0000 0.0000
4 O 0.5000 0.5000 0.5000

**Formation energy (no corrections)**: 0.657 eV per atom
**V**: 7.9 Å³ per atom
**DFT total energy**: -16.459 eV for the cell shown


VASP calculation (PBE-GGA) on BeBP2O after structural relaxation.

Cell lengths 4.6489, 4.6489, 2.8540 Å; angles 90.00, 90.00, 90.00 degrees
Element x y z (fractional)
1 Be 0.0000 0.0000 0.0000
2 B 0.5000 0.5000 0.5000
3 P 0.0000 0.5000 0.0000
4 P 0.5000 0.0000 0.0000
5 O 0.0000 0.0000 0.5000

**Formation energy (no corrections)**: 0.617 eV per atom
**V**: 12.3 Å³ per atom
**DFT total energy**: -23.095 eV for the cell shown